Record 1
An optimized crystal structure of Zr2Si3Pt5, computed with PBE.

Unit cell a=4.1588 b=23.1641 c=6.7210 alpha=90.00 beta=90.00 gamma=90.00
Space group Cmc2_1 (No. 36)
One atom of each set of equivalent atoms:
Zr1 0.0000 0.0215 0.0000
Zr2 0.0000 0.3254 0.9729
Si1 0.0000 0.1040 0.3174
Si2 0.0000 0.2766 0.4106
Si3 0.0000 0.4498 0.1901
Pt1 0.0000 0.1074 0.6837
Pt2 0.0000 0.1940 0.1363
Pt3 0.0000 0.2253 0.7186
Pt4 0.0000 0.3805 0.4716
Pt5 0.0000 0.4501 0.8066

ΔE_f (raw) = -946 meV per atom
N(E_F) = 16.96 states/eV per cell
spin magnetization = 0.0000 μB/atom
total energy = -292.132 eV per cell

---

Record 2
An optimized crystal structure of ZrSiPt4, computed with PBE.

Unit cell a=7.4615 b=7.4615 c=7.4615 alpha=90.00 beta=90.00 gamma=90.00
Space group F-43m (No. 216)
One atom of each set of equivalent atoms:
Zr1 0.0000 0.0000 0.0000
Si1 0.2500 0.2500 0.7500
Pt1 0.1251 0.1251 0.3749

ΔE_f (raw) = -363 meV per atom
N(E_F) = 4.86 states/eV per cell
spin magnetization = 0.0000 μB/atom
total energy = -161.257 eV per cell

---

Record 3
An optimized crystal structure of Zr2Si2Pt, computed with PBE.

Unit cell a=6.4196 b=6.4196 c=4.1308 alpha=90.00 beta=90.00 gamma=90.00
Space group P4/mbm (No. 127)
One atom of each set of equivalent atoms:
Zr1 0.1712 0.3288 0.0000
Si1 0.1307 0.6307 0.5000
Pt1 0.0000 0.0000 0.5000

ΔE_f (raw) = -1027 meV per atom
N(E_F) = 3.81 states/eV per cell
spin magnetization = 0.0000 μB/atom
total energy = -78.237 eV per cell

---

Record 4
An optimized crystal structure of Zr2Si2Pt, computed with PBE.

Unit cell a=4.2551 b=4.2551 c=10.8962 alpha=90.00 beta=90.00 gamma=90.00
Space group I4/mmm (No. 139)
One atom of each set of equivalent atoms:
Zr1 0.0000 0.5000 0.2500
Si1 0.0000 0.0000 0.0993
Pt1 0.0000 0.0000 0.5000

ΔE_f (raw) = 74 meV per atom
N(E_F) = 14.20 states/eV per cell
spin magnetization = 0.0000 μB/atom
total energy = -67.227 eV per cell

---

Record 5
An optimized crystal structure of ZrSiPt2, computed with PBE.

Unit cell a=3.2998 b=4.0209 c=5.3934 alpha=90.00 beta=90.00 gamma=90.00
Space group Pmmm (No. 47)
One atom of each set of equivalent atoms:
Zr1 0.0000 0.0000 0.0000
Si1 0.5000 0.0000 0.5000
Pt1 0.5000 0.5000 0.2471

ΔE_f (raw) = -810 meV per atom
N(E_F) = 2.36 states/eV per cell
spin magnetization = 0.0000 μB/atom
total energy = -29.291 eV per cell

---

Record 6
An optimized crystal structure of ZrSi2Pt2, computed with PBE.

Unit cell a=7.3191 b=7.3191 c=2.9453 alpha=90.00 beta=90.00 gamma=90.00
Space group P4/mbm (No. 127)
One atom of each set of equivalent atoms:
Zr1 0.0000 0.0000 0.0000
Si1 0.1471 0.3529 0.0000
Pt1 0.1479 0.6479 0.5000

ΔE_f (raw) = -603 meV per atom
N(E_F) = 6.13 states/eV per cell
spin magnetization = 0.0000 μB/atom
total energy = -68.983 eV per cell

---

Question: Which formula does entry 2 have?
Answer: ZrSiPt4

---

Question: Which formula does entry 5 have?
Answer: ZrSiPt2

---

Question: The lowest ΔE_f (raw) belongs to which entry?
Answer: number 3

---

Question: Look up the spin magnetization of the first one.
Answer: 0.0000 μB/atom